Computed, not measured: a relaxed LiCu5Si crystal at the PBE-GGA level of DFT.

abc: 6.568 5.637 9.521
angles: 90.00 90.00 90.00
Space group Cmcm (No. 63)
Unique sites:
Li (0.000, 0.152, 0.250) (multiplicity 4)
Cu (0.000, 0.431, 0.750) (multiplicity 4)
Cu (0.200, 0.145, 0.611) (multiplicity 16)
Si (0.000, 0.500, 0.000) (multiplicity 4)

Values from the calculation:
- formation energy (no corrections) (eV/atom) = -0.051

=====

Computed, not measured: a relaxed LiGeN2 crystal at the PBE-GGA level of DFT.

abc: 3.0091 3.0091 17.6076
angles: 90.00 90.00 120.00
Space group R-3m (No. 166, hexagonal axes)
Unique sites:
Li (0.0000, 0.0000, 0.0000) (multiplicity 3)
Ge (0.0000, 0.0000, 0.5000) (multiplicity 3)
N (0.0000, 0.0000, 0.1071) (multiplicity 6)

Values from the calculation:
- formation energy (no corrections) (eV/atom) = 0.351

=====

Computed, not measured: a relaxed Hf2Mg2Sc3 crystal at the PBE-GGA level of DFT.

abc: 4.955 21.277 3.127
angles: 90.00 90.00 90.00
Space group Cmmm (No. 65)
Unique sites:
Hf (0.000, 0.220, 0.000) (multiplicity 4)
Mg (0.000, 0.073, 0.000) (multiplicity 4)
Sc (0.000, 0.347, 0.500) (multiplicity 4)
Sc (0.000, 0.500, 0.500) (multiplicity 2)

Values from the calculation:
- formation energy (eV/atom) = 0.04

=====

Computed, not measured: a relaxed Si2AsOsS crystal at the PBE-GGA level of DFT.

abc: 4.628 4.628 4.758
angles: 90.00 90.00 90.00
Space group P4/mmm (No. 123)
Unique sites:
Si (0.000, 0.500, 0.000) (multiplicity 2)
As (0.000, 0.000, 0.500) (multiplicity 1)
Os (0.000, 0.000, 0.000) (multiplicity 1)
S (0.500, 0.500, 0.500) (multiplicity 1)

Values from the calculation:
- formation energy (no corrections) (eV/atom) = 0.442

=====

The evaluated DFT total energy for the records listed, in turn: -4.03 -5.44 -5.98 -5.73 eV/atom.